Entry 1:
MoRhN | PBE | relaxed

```
6
Lattice="3.917 0.000 0.000 0.000 3.917 0.000 -1.959 -1.959 5.404" Properties=species:S:1:pos:R:3 pbc="T T T"
N 1.959 1.959 2.378
N 1.959 0.000 5.080
Rh 0.000 1.959 2.583
Rh 1.959 1.959 5.285
Mo 1.959 1.959 0.443
Mo 1.959 0.000 3.144
```

Summary:
- Formation energy (no corrections): 161.9 meV/atom
- Volume: 13.82 Å³ per atom
- Raw total energy: -52.0 eV/cell
- Density: 8.53 g/cm3

---

Entry 2:
GaTeSe | PBE | relaxed

```
3
Lattice="-2.964 -2.064 -0.439 1.323 0.597 3.337 -4.279 6.011 0.621" Properties=species:S:1:pos:R:3 pbc="T T T"
Te -0.354 0.498 0.051
Ga -3.116 1.043 1.049
Se -2.450 3.003 2.418
```

Summary:
- Formation energy (no corrections): -213.8 meV/atom
- Volume: 28.30 Å³ per atom
- Raw total energy: -10.3 eV/cell
- Density: 5.40 g/cm3

---

Entry 3:
YScCoAu | PBE | relaxed

```
4
Lattice="4.803 0.000 0.000 2.401 4.160 0.000 2.401 1.387 3.922" Properties=species:S:1:pos:R:3 pbc="T T T"
Y 7.204 4.160 2.941
Co 4.803 2.773 1.961
Au 0.000 0.000 0.000
Sc 2.401 1.387 0.980
```

Summary:
- Volume: 19.59 Å³ per atom
- Raw total energy: -25.0 eV/cell
- Density: 8.26 g/cm3